Record 1
VASP calculation (PBE) on a relaxed BPd2F crystal.

The value obtained for the volume is 213 Å³/cell. The value obtained for the density of states at the Fermi level is 0.218 states/eV/atom.

The structure belongs to space group I-42d (No. 122); the cell edges are 5.831, 5.831 and 6.253 Å and the angles 90.00°, 90.00° and 90.00°. The asymmetric unit holds B at (0.000, 0.000, 0.000), Pd at (0.199, 0.750, 0.125) and F at (0.000, 0.000, 0.500).



Record 2
VASP calculation (PBE) on a relaxed BPdF2 crystal.

The value obtained for the volume is 187 Å³/cell. The value obtained for the density of states at the Fermi level is 1.762 states/eV/atom.

The structure belongs to space group Fm-3m (No. 225); the cell edges are 5.716, 5.716 and 5.716 Å and the angles 90.00°, 90.00° and 90.00°. The asymmetric unit holds B at (0.000, 0.000, 0.000), Pd at (0.000, 0.000, 0.500) and F at (0.250, 0.250, 0.250).



Record 3
VASP calculation (PBE) on a relaxed BPdF crystal.

The value obtained for the volume is 93 Å³/cell. The value obtained for the density of states at the Fermi level is 0.079 states/eV/atom.

The structure belongs to space group Pmmn (No. 59, origin choice 2); the cell edges are 3.684, 4.107 and 6.170 Å and the angles 90.00°, 90.00° and 90.00°. The asymmetric unit holds B at (0.250, 0.250, 0.156), Pd at (0.250, 0.750, 0.017) and F at (0.250, 0.250, 0.374).



Record 4
VASP calculation (PBE) on a relaxed BPdF2 crystal.

The value obtained for the volume is 403 Å³/cell. The value obtained for the density of states at the Fermi level is 0.149 states/eV/atom.

The structure belongs to space group Fd-3m (No. 227, origin choice 2); the cell edges are 7.389, 7.389 and 7.389 Å and the angles 90.00°, 90.00° and 90.00°. The asymmetric unit holds B at (0.125, 0.125, 0.125), Pd at (0.125, 0.125, 0.625) and F at (0.000, 0.000, 0.000).



Record 5
VASP calculation (PBE) on a relaxed BPdF crystal.

The value obtained for the volume is 157 Å³/cell. The value obtained for the density of states at the Fermi level is 0.226 states/eV/atom.

The structure belongs to space group C2/m (No. 12); the cell edges are 5.111, 2.928 and 10.657 Å and the angles 90.00°, 99.52° and 90.00°. The asymmetric unit holds B at (0.245, 0.000, 0.241), Pd at (0.129, 0.000, 0.881) and F at (0.213, 0.500, 0.634).



Record 6
VASP calculation (PBE) on a relaxed BPdF crystal.

The value obtained for the volume is 79 Å³/cell. The value obtained for the density of states at the Fermi level is 0.206 states/eV/atom.

The structure belongs to space group P1 (No. 1); the cell edges are 2.835, 2.945 and 10.520 Å and the angles 89.55°, 89.17° and 63.57°. The asymmetric unit holds B at (0.000, 0.000, 0.000), B at (0.343, 0.349, 0.483), Pd at (0.328, 0.358, 0.122), Pd at (0.683, 0.709, 0.361), F at (0.006, 0.987, 0.875) and F at (0.338, 0.336, 0.607).



Record 7
VASP calculation (PBE) on a relaxed B3PdF crystal.

The value obtained for the volume is 67 Å³/cell. The value obtained for the density of states at the Fermi level is 0.000 states/eV/atom.

The structure belongs to space group Pm-3m (No. 221); the cell edges are 4.053, 4.053 and 4.053 Å and the angles 90.00°, 90.00° and 90.00°. The asymmetric unit holds B at (0.000, 0.000, 0.500), Pd at (0.000, 0.000, 0.000) and F at (0.500, 0.500, 0.500).



Record 8
VASP calculation (PBE) on a relaxed BPdF2 crystal.

The value obtained for the volume is 189 Å³/cell. The value obtained for the density of states at the Fermi level is 0.704 states/eV/atom.

The structure belongs to space group R-3m (No. 166, hexagonal axes); the cell edges are 2.6982, 2.6982 and 30.0401 Å and the angles 90.00°, 90.00° and 120.00°. The asymmetric unit holds B at (0.0000, 0.0000, 0.0000), Pd at (0.0000, 0.0000, 0.5000) and F at (0.0000, 0.0000, 0.0445).



no.,distance to the lowest polymorph of the same formula (meV/atom),uncorrected formation energy (eV per formula unit),raw total energy (eV per atom)
1,0,-1.29,-5.057
2,987,1.16,-3.614
3,1,-3.50,-5.748
4,507,-0.76,-4.094
5,21,-3.44,-5.728
6,25,-3.43,-5.724
7,0,4.18,-4.583
8,0,-2.79,-4.601